(1)
A plane-wave DFT calculation with PBE-GGA was carried out for a geometry-optimized NaCa2Rh3O8 structure.

## Properties
For the magnetization, the calculation gives 0.00 μB/cell. For the uncorrected formation energy, the calculation gives -1.51 eV per atom. Its total energy is -6.296 eV/atom. For the density of states at the Fermi level, the calculation gives 9.77 states/eV per cell.

Cell: 6.3866 6.3866 15.8747 Å, 90.00 90.00 120.00°
With the nearest neighbours (Å) after each atom.
Space group R3m (No. 160, hexagonal axes)
Unique sites:
Na: 0.0000 0.0000 0.0000 [3 per cell]  4 O 2.24-2.34
Ca: 0.0000 0.0000 0.3770 [3 per cell]  6 O 2.30-2.31
Ca: 0.0000 0.0000 0.7612 [3 per cell]  4 O 2.21-2.36
Rh: 0.0029 0.5014 0.8794 [9 per cell]  6 O 2.01-2.14
O: 0.0000 0.0000 0.1473 [3 per cell]  3 Rh 2.10, 1 Na 2.34
O: 0.0000 0.0000 0.6122 [3 per cell]  3 Rh 2.14, 1 Ca 2.36
O: 0.0378 0.5189 0.1456 [9 per cell]  2 Rh 2.06, 2 Ca 2.21-2.30
O: 0.1845 0.3690 0.9419 [9 per cell]  2 Rh 2.01, 1 Na 2.24



(2)
A plane-wave DFT calculation with PBE-GGA was carried out for a geometry-optimized NaCa2RhO5 structure.

## Properties
For the magnetization, the calculation gives 4.04 μB/cell. For the uncorrected formation energy, the calculation gives -1.78 eV per atom. Its total energy is -5.940 eV/atom. For the density of states at the Fermi level, the calculation gives 7.86 states/eV per cell.

Cell: 3.8328 5.8052 11.0753 Å, 90.00 90.00 90.00°
With the nearest neighbours (Å) after each atom.
Space group Immm (No. 71)
Unique sites:
Na: 0.0000 0.0000 0.0000 [2 per cell]  10 O 2.88-2.90
Ca: 0.0000 0.5000 0.2168 [4 per cell]  7 O 2.27-2.51
Rh: 0.0000 0.0000 0.5000 [2 per cell]  6 O 1.92-2.00
O: 0.0000 0.2315 0.3660 [8 per cell]  1 Rh 2.00
O: 0.0000 0.5000 0.0000 [2 per cell]  2 Rh 1.92